Entry from Alexandria: a relaxed structure of Mg2Nb2V (PBE).

Properties
formation enthalpy at 0 K	0.7310	eV/atom
calculated density	4.59	g cm⁻³
polymorph energy (0 for the lowest one)	0	meV per atom
crystal system	tetragonal
electronic total energy	-5.76	eV/atom

```
data_Mg2Nb2V
_chemical_formula_sum 'Mg4 Nb4 V2'
_cell_length_a 3.7482
_cell_length_b 3.7482
_cell_length_c 14.6970
_cell_angle_alpha 90.00
_cell_angle_beta 90.00
_cell_angle_gamma 90.00
_symmetry_space_group_name_H-M 'I 4/m m m'
_symmetry_Int_Tables_number 139
_symmetry_space_group_name_Hall '-I 4 2'
loop_
_atom_site_label
_atom_site_type_symbol
_atom_site_fract_x
_atom_site_fract_y
_atom_site_fract_z
Mg1 Mg 0.0000 0.0000 0.0924
Nb1 Nb 0.0000 0.5000 0.2500
V1 V 0.0000 0.0000 0.5000
```